Entry 1:
# K2IBr, relaxed, DFT PBE
data_K2IBr
_cell_length_a 4.8830
_cell_length_b 4.8830
_cell_length_c 24.1648
_cell_angle_alpha 90.00
_cell_angle_beta 90.00
_cell_angle_gamma 120.00
_symmetry_space_group_name_H-M 'R -3 m'
_symmetry_Int_Tables_number 166
_symmetry_space_group_name_Hall '-R 3 2"'
loop_
_atom_site_label
_atom_site_type_symbol
_atom_site_fract_x
_atom_site_fract_y
_atom_site_fract_z
K1 K 0.0000 0.0000 0.2444
I1 I 0.0000 0.0000 0.0000
Br1 Br 0.0000 0.0000 0.5000
# Energy relative to the elements, uncorrected: -1611 meV per atom

***

Entry 2:
# K4I3Br, relaxed, DFT PBE
data_K4I3Br
_cell_length_a 8.690
_cell_length_b 9.957
_cell_length_c 8.592
_cell_angle_alpha 90.00
_cell_angle_beta 109.39
_cell_angle_gamma 90.00
_symmetry_space_group_name_H-M 'P 1 2/c 1'
_symmetry_Int_Tables_number 13
loop_
_symmetry_equiv_pos_as_xyz
'x,y,z'
'-x,-y,-z'
'-x,y,-z+1/2'
'x,-y,z+1/2'
loop_
_atom_site_label
_atom_site_type_symbol
_atom_site_fract_x
_atom_site_fract_y
_atom_site_fract_z
K1 K 0.236 0.118 0.002
K2 K 0.244 0.368 0.492
I1 I 0.000 0.373 0.750
I2 I 0.500 0.124 0.750
I3 I 0.500 0.373 0.250
Br1 Br 0.000 0.122 0.250
# Energy relative to the elements, uncorrected: -1545 meV per atom

***

Entry 3:
# KI3Br9, relaxed, DFT PBE
data_KI3Br9
_cell_length_a 23.865
_cell_length_b 9.695
_cell_length_c 17.259
_cell_angle_alpha 90.00
_cell_angle_beta 132.37
_cell_angle_gamma 90.00
_symmetry_space_group_name_H-M 'C 1 c 1'
_symmetry_Int_Tables_number 9
loop_
_symmetry_equiv_pos_as_xyz
'x,y,z'
'x,-y,z+1/2'
'x+1/2,y+1/2,z'
'x+1/2,-y+1/2,z+1/2'
loop_
_atom_site_label
_atom_site_type_symbol
_atom_site_fract_x
_atom_site_fract_y
_atom_site_fract_z
K1 K 0.000 0.232 0.000
I1 I 0.146 0.442 0.811
I2 I 0.249 0.038 0.264
I3 I 0.419 0.408 0.696
Br1 Br 0.128 0.300 0.922
Br2 Br 0.133 0.017 0.056
Br3 Br 0.157 0.415 0.185
Br4 Br 0.206 0.194 0.791
Br5 Br 0.283 0.462 0.496
Br6 Br 0.357 0.283 0.757
Br7 Br 0.370 0.071 0.470
Br8 Br 0.400 0.309 0.250
Br9 Br 0.497 0.499 0.144
# Energy relative to the elements, uncorrected: -202 meV per atom

***

Entry 4:
# K8I4Br3, relaxed, DFT PBE
data_K8I4Br3
_cell_length_a 13.932
_cell_length_b 13.943
_cell_length_c 9.848
_cell_angle_alpha 90.00
_cell_angle_beta 134.97
_cell_angle_gamma 90.00
_symmetry_space_group_name_H-M 'C 1 2/m 1'
_symmetry_Int_Tables_number 12
loop_
_symmetry_equiv_pos_as_xyz
'x,y,z'
'-x,-y,-z'
'-x,y,-z'
'x,-y,z'
'x+1/2,y+1/2,z'
'-x+1/2,-y+1/2,-z'
'-x+1/2,y+1/2,-z'
'x+1/2,-y+1/2,z'
loop_
_atom_site_label
_atom_site_type_symbol
_atom_site_fract_x
_atom_site_fract_y
_atom_site_fract_z
K1 K 0.000 0.244 0.000
K2 K 0.000 0.247 0.500
K3 K 0.240 0.000 0.488
K4 K 0.241 0.000 0.994
I1 I 0.000 0.500 0.000
I2 I 0.000 0.500 0.500
I3 I 0.250 0.250 0.500
Br1 Br 0.000 0.000 0.000
Br2 Br 0.250 0.250 0.000
# Energy relative to the elements, uncorrected: -1451 meV per atom

***

Entry 5:
# KIBr6, relaxed, DFT PBE
data_KIBr6
_cell_length_a 8.889
_cell_length_b 12.014
_cell_length_c 7.034
_cell_angle_alpha 90.00
_cell_angle_beta 116.28
_cell_angle_gamma 90.00
_symmetry_space_group_name_H-M 'C 1 2/m 1'
_symmetry_Int_Tables_number 12
loop_
_symmetry_equiv_pos_as_xyz
'x,y,z'
'-x,-y,-z'
'-x,y,-z'
'x,-y,z'
'x+1/2,y+1/2,z'
'-x+1/2,-y+1/2,-z'
'-x+1/2,y+1/2,-z'
'x+1/2,-y+1/2,z'
loop_
_atom_site_label
_atom_site_type_symbol
_atom_site_fract_x
_atom_site_fract_y
_atom_site_fract_z
K1 K 0.000 0.000 0.000
I1 I 0.000 0.500 0.500
Br1 Br 0.173 0.316 0.861
Br2 Br 0.207 0.000 0.531
# Energy relative to the elements, uncorrected: -437 meV per atom

***

Entry 6:
# K2IBr, relaxed, DFT PBE
data_K2IBr
_cell_length_a 4.190
_cell_length_b 4.190
_cell_length_c 8.378
_cell_angle_alpha 90.00
_cell_angle_beta 90.00
_cell_angle_gamma 90.00
_symmetry_space_group_name_H-M 'P 4/m m m'
_symmetry_Int_Tables_number 123
_symmetry_space_group_name_Hall '-P 4 2'
loop_
_atom_site_label
_atom_site_type_symbol
_atom_site_fract_x
_atom_site_fract_y
_atom_site_fract_z
K1 K 0.000 0.000 0.238
I1 I 0.500 0.500 0.500
Br1 Br 0.500 0.500 0.000
# Energy relative to the elements, uncorrected: -1535 meV per atom

***

Entry 7:
# K12I5Br3, relaxed, DFT PBE
data_K12I5Br3
_cell_length_a 21.530
_cell_length_b 21.530
_cell_length_c 21.530
_cell_angle_alpha 90.00
_cell_angle_beta 90.00
_cell_angle_gamma 90.00
_symmetry_space_group_name_H-M 'I a -3 d'
_symmetry_Int_Tables_number 230
_symmetry_space_group_name_Hall '-I 4bd 2c 3'
loop_
_atom_site_label
_atom_site_type_symbol
_atom_site_fract_x
_atom_site_fract_y
_atom_site_fract_z
K1 K 0.006 0.043 0.162
I1 I 0.000 0.000 0.000
I2 I 0.000 0.250 0.375
Br1 Br 0.000 0.250 0.125
# Energy relative to the elements, uncorrected: -1076 meV per atom

***

Entry 8:
# KIBr, relaxed, DFT PBE
data_KIBr
_cell_length_a 4.691
_cell_length_b 4.780
_cell_length_c 11.868
_cell_angle_alpha 92.95
_cell_angle_beta 100.59
_cell_angle_gamma 90.15
_symmetry_space_group_name_H-M 'P -1'
_symmetry_Int_Tables_number 2
loop_
_symmetry_equiv_pos_as_xyz
'x,y,z'
'-x,-y,-z'
loop_
_atom_site_label
_atom_site_type_symbol
_atom_site_fract_x
_atom_site_fract_y
_atom_site_fract_z
K1 K 0.171 0.221 0.339
I1 I 0.443 0.096 0.889
Br1 Br 0.312 0.281 0.630
# Energy relative to the elements, uncorrected: -1150 meV per atom

***

Entry 9:
# K7IBr5, relaxed, DFT PBE
data_K7IBr5
_cell_length_a 15.938
_cell_length_b 4.770
_cell_length_c 28.628
_cell_angle_alpha 90.00
_cell_angle_beta 90.24
_cell_angle_gamma 90.00
_symmetry_space_group_name_H-M 'C 1 m 1'
_symmetry_Int_Tables_number 8
loop_
_symmetry_equiv_pos_as_xyz
'x,y,z'
'x,-y,z'
'x+1/2,y+1/2,z'
'x+1/2,-y+1/2,z'
loop_
_atom_site_label
_atom_site_type_symbol
_atom_site_fract_x
_atom_site_fract_y
_atom_site_fract_z
K1 K 0.000 0.000 0.000
K2 K 0.000 0.000 0.431
K3 K 0.044 0.500 0.861
K4 K 0.046 0.500 0.570
K5 K 0.102 0.000 0.716
K6 K 0.170 0.000 0.216
K7 K 0.226 0.500 0.361
K8 K 0.227 0.500 0.071
K9 K 0.271 0.000 0.932
K10 K 0.272 0.000 0.500
K11 K 0.307 0.500 0.790
K12 K 0.309 0.500 0.642
K13 K 0.463 0.000 0.290
K14 K 0.465 0.000 0.141
I1 I 0.344 0.500 0.214
I2 I 0.428 0.000 0.717
Br1 Br 0.095 0.000 0.328
Br2 Br 0.096 0.000 0.103
Br3 Br 0.136 0.500 0.466
Br4 Br 0.136 0.500 0.966
Br5 Br 0.175 0.000 0.828
Br6 Br 0.177 0.000 0.604
Br7 Br 0.364 0.000 0.038
Br8 Br 0.364 0.000 0.393
Br9 Br 0.407 0.500 0.893
Br10 Br 0.408 0.500 0.539
# Energy relative to the elements, uncorrected: -1526 meV per atom

***

Entry 10:
# KI2Br, relaxed, DFT PBE
data_KI2Br
_cell_length_a 10.935
_cell_length_b 5.013
_cell_length_c 7.313
_cell_angle_alpha 90.00
_cell_angle_beta 93.13
_cell_angle_gamma 90.00
_symmetry_space_group_name_H-M 'C 1 m 1'
_symmetry_Int_Tables_number 8
loop_
_symmetry_equiv_pos_as_xyz
'x,y,z'
'x,-y,z'
'x+1/2,y+1/2,z'
'x+1/2,-y+1/2,z'
loop_
_atom_site_label
_atom_site_type_symbol
_atom_site_fract_x
_atom_site_fract_y
_atom_site_fract_z
K1 K 0.000 0.000 0.000
I1 I 0.132 0.500 0.703
I2 I 0.463 0.000 0.390
Br1 Br 0.307 0.000 0.064
# Energy relative to the elements, uncorrected: -830 meV per atom

***

Entry 11:
# K2IBr6, relaxed, DFT PBE
data_K2IBr6
_cell_length_a 7.327
_cell_length_b 8.728
_cell_length_c 12.766
_cell_angle_alpha 90.00
_cell_angle_beta 124.11
_cell_angle_gamma 90.00
_symmetry_space_group_name_H-M 'P 1 21/c 1'
_symmetry_Int_Tables_number 14
loop_
_symmetry_equiv_pos_as_xyz
'x,y,z'
'-x,-y,-z'
'-x,y+1/2,-z+1/2'
'x,-y+1/2,z+1/2'
loop_
_atom_site_label
_atom_site_type_symbol
_atom_site_fract_x
_atom_site_fract_y
_atom_site_fract_z
K1 K 0.226 0.097 0.268
I1 I 0.500 0.000 0.000
Br1 Br 0.152 0.163 0.961
Br2 Br 0.251 0.684 0.962
Br3 Br 0.328 0.006 0.750
# Energy relative to the elements, uncorrected: -724 meV per atom

***

Entry 12:
# KIBr5, relaxed, DFT PBE
data_KIBr5
_cell_length_a 10.095
_cell_length_b 11.588
_cell_length_c 10.802
_cell_angle_alpha 90.00
_cell_angle_beta 109.71
_cell_angle_gamma 90.00
_symmetry_space_group_name_H-M 'C 1 2/c 1'
_symmetry_Int_Tables_number 15
loop_
_symmetry_equiv_pos_as_xyz
'x,y,z'
'-x,-y,-z'
'-x,y,-z+1/2'
'x,-y,z+1/2'
'x+1/2,y+1/2,z'
'-x+1/2,-y+1/2,-z'
'-x+1/2,y+1/2,-z+1/2'
'x+1/2,-y+1/2,z+1/2'
loop_
_atom_site_label
_atom_site_type_symbol
_atom_site_fract_x
_atom_site_fract_y
_atom_site_fract_z
K1 K 0.000 0.058 0.250
I1 I 0.250 0.250 0.000
Br1 Br 0.000 0.234 0.750
Br2 Br 0.078 0.314 0.131
Br3 Br 0.221 0.026 0.057
# Energy relative to the elements, uncorrected: -471 meV per atom